[1]
{
  "formula": "LuInCoSe3",
  "functional": "PBE",
  "state": "optimized geometry",
  "sg": "Cmcm",
  "final_energy_ev_per_atom": -4.97,
  "cell": [[3.9062, 0.0000, 0.0000], [1.9531, 7.2432, 0.0000], [0.0000, 0.0000, 10.4185]],
  "species": ["Se", "Se", "In", "In", "Se", "Lu", "Co", "Co", "Se", "Se", "Lu", "Se"],
  "fractional_positions": [[0.3716, 0.2568, 0.5705], [0.6284, 0.7432, 0.0705], [0.2439, 0.5122, 0.2500], [0.7561, 0.4878, 0.7500], [0.9265, 0.1471, 0.2500], [0.0000, 0.0000, 0.5000], [0.4754, 0.0491, 0.7500], [0.5246, 0.9509, 0.2500], [0.0735, 0.8529, 0.7500], [0.3716, 0.2568, 0.9295], [0.0000, 0.0000, 0.0000], [0.6284, 0.7432, 0.4295]]
}

---

[2]
{
  "formula": "MgZnCuIr",
  "functional": "PBE",
  "state": "optimized geometry",
  "sg": "F-43m",
  "e_above_lowest_polymorph_ev_per_atom": 0.0000,
  "cell": [[0.3864, -2.8416, 3.2301], [-3.0810, -2.9552, 0.6569], [0.7778, -4.1599, -0.8646]],
  "species": ["Zn", "Cu", "Ir", "Mg"],
  "fractional_positions": [[0.0000, 0.0000, 0.0000], [0.7500, 0.7500, 0.7500], [0.2500, 0.2500, 0.2500], [0.5000, 0.5000, 0.5000]]
}

---

[3]
{
  "formula": "TaAgS3",
  "functional": "PBE",
  "state": "optimized geometry",
  "sg": "Pm-3m",
  "e_above_lowest_polymorph_ev_per_atom": 0.4020,
  "cell": [[6.7933, 0.0000, 0.0000], [0.0000, 6.7933, 0.0000], [3.3967, 3.3967, 4.8036]],
  "species": ["S", "S", "S", "S", "Ta", "S", "Ta", "Ag", "S", "Ag"],
  "fractional_positions": [[0.2500, 0.7500, 0.0000], [0.7500, 0.7500, 0.5000], [0.2500, 0.2500, 0.5000], [0.2500, 0.2500, 0.0000], [0.0000, 0.0000, 0.0000], [0.7500, 0.2500, 0.0000], [0.5000, 0.5000, 0.0000], [0.7500, 0.2500, 0.5000], [0.7500, 0.7500, 0.0000], [0.2500, 0.7500, 0.5000]]
}

---

[4]
{
  "formula": "Cu3ReSe2S2",
  "functional": "PBE",
  "state": "optimized geometry",
  "sg": "C2",
  "final_energy_ev_per_atom": -4.98,
  "cell": [[-2.5079, 5.2112, 2.9918], [-5.7454, 2.9544, -0.8120], [-0.2451, -4.6141, 2.9461]],
  "species": ["Se", "Cu", "Re", "Cu", "Cu", "S", "S", "Se"],
  "fractional_positions": [[0.3677, 0.8823, 0.3717], [0.2492, 0.2500, 0.7756], [0.9837, 0.0163, 0.0000], [0.5275, 0.4725, 0.5000], [0.7500, 0.7508, 0.2244], [0.6287, 0.1247, 0.1200], [0.8753, 0.3713, 0.8800], [0.1177, 0.6323, 0.6283]]
}

---

[5]
{
  "formula": "CsSmGeTe3",
  "functional": "PBE",
  "state": "optimized geometry",
  "sg": "Cmcm",
  "final_energy_ev_per_atom": -4.17,
  "cell": [[-8.2894, 1.0838, -2.1944], [6.3313, -5.3649, 2.4158], [-2.8837, 1.9317, 11.8475]],
  "species": ["Cs", "Sm", "Te", "Ge", "Te", "Te", "Ge", "Te", "Cs", "Te", "Sm", "Te"],
  "fractional_positions": [[0.2466, 0.7534, 0.7500], [0.5000, 0.5000, 0.0000], [0.8737, 0.1263, 0.9564], [0.0447, 0.9553, 0.2500], [0.4463, 0.5537, 0.2500], [0.1263, 0.8737, 0.0436], [0.9553, 0.0447, 0.7500], [0.1263, 0.8737, 0.4564], [0.7534, 0.2466, 0.2500], [0.5537, 0.4463, 0.7500], [0.5000, 0.5000, 0.5000], [0.8737, 0.1263, 0.5436]]
}

---

[6]
{
  "formula": "Cs2Tm3Se4",
  "functional": "PBE",
  "state": "optimized geometry",
  "sg": "Fmmm",
  "e_above_lowest_polymorph_ev_per_atom": 0.0000,
  "cell": [[-0.0571, -1.1455, 9.7962], [0.3383, 5.1725, 7.1303], [-5.9145, -1.3719, 3.2120]],
  "species": ["Cs", "Se", "Tm", "Se", "Tm", "Se", "Tm", "Cs", "Se"],
  "fractional_positions": [[0.3159, 0.3159, 0.6841], [0.0570, 0.7003, 0.2997], [0.0000, 0.0000, 0.5000], [0.2997, 0.9430, 0.0570], [0.0000, 0.0000, 0.0000], [0.9430, 0.2997, 0.7003], [0.5000, 0.5000, 0.0000], [0.6841, 0.6841, 0.3159], [0.7003, 0.0570, 0.9430]]
}

---

[7]
{
  "formula": "NaTaCo",
  "functional": "PBE",
  "state": "optimized geometry",
  "sg": "F-43m",
  "e_above_lowest_polymorph_ev_per_atom": 0.0000,
  "cell": [[-3.3652, 1.0665, 2.3164], [-3.4877, 1.4505, -1.8866], [-3.4839, -2.3826, -0.1161]],
  "species": ["Na", "Co", "Ta"],
  "fractional_positions": [[0.2500, 0.2500, 0.2500], [0.0000, 0.0000, 0.0000], [0.7500, 0.7500, 0.7500]]
}

---

[8]
{
  "formula": "Tb2SmZn2Si4Au2",
  "functional": "PBE",
  "state": "optimized geometry",
  "sg": "Immm",
  "e_above_lowest_polymorph_ev_per_atom": 0.0000,
  "cell": [[-3.9586, 11.7023, 3.7364], [-6.6257, 10.9828, -1.4329], [3.0372, -12.5407, 0.2862]],
  "species": ["Si", "Si", "Zn", "Si", "Si", "Sm", "Tb", "Zn", "Au", "Tb", "Au"],
  "fractional_positions": [[0.1921, 0.6921, 0.5000], [0.8079, 0.3079, 0.5000], [0.2508, 0.2508, 0.0000], [0.4530, 0.4530, 0.0000], [0.5470, 0.5470, 0.0000], [0.0000, 0.0000, 0.0000], [0.3537, 0.8537, 0.5000], [0.7492, 0.7492, 0.0000], [0.9039, 0.4039, 0.5000], [0.6463, 0.1463, 0.5000], [0.0961, 0.5961, 0.5000]]
}

---

[9]
{
  "formula": "HfCd2W",
  "functional": "PBE",
  "state": "optimized geometry",
  "delta_e_f_ev_per_atom": 0.569,
  "sg": "F-43m",
  "cell": [[-4.6440, 0.6186, 1.0745], [-2.7779, 2.7235, -2.8230], [-3.3905, -2.0429, -2.7267]],
  "species": ["Cd", "Hf", "Cd", "W"],
  "fractional_positions": [[0.5000, 0.5000, 0.5000], [0.0000, 0.0000, 0.0000], [0.2500, 0.2500, 0.2500], [0.7500, 0.7500, 0.7500]]
}

---

[10]
{
  "formula": "TmNbCo",
  "functional": "PBE",
  "state": "optimized geometry",
  "delta_e_f_ev_per_atom": 0.785,
  "sg": "F-43m",
  "e_above_lowest_polymorph_ev_per_atom": 0.0000,
  "cell": [[0.0000, 3.0952, 3.0952], [3.0952, 0.0000, 3.0952], [3.0952, 3.0952, 0.0000]],
  "species": ["Tm", "Co", "Nb"],
  "fractional_positions": [[0.7500, 0.7500, 0.7500], [0.2500, 0.2500, 0.2500], [0.0000, 0.0000, 0.0000]]
}

---

[11]
{
  "formula": "PuUIn",
  "functional": "PBE",
  "state": "optimized geometry",
  "sg": "F-43m",
  "e_above_lowest_polymorph_ev_per_atom": 0.0000,
  "cell": [[0.0000, 3.6019, 3.6019], [3.6019, 0.0000, 3.6019], [3.6019, 3.6019, 0.0000]],
  "species": ["In", "Pu", "U"],
  "fractional_positions": [[0.0000, 0.0000, 0.0000], [0.2500, 0.2500, 0.2500], [0.7500, 0.7500, 0.7500]]
}

---

[12]
{
  "formula": "TbZnO3",
  "functional": "PBE",
  "state": "optimized geometry",
  "sg": "P4mm",
  "final_energy_ev_per_atom": -6.13,
  "cell": [[3.7872, 0.0000, 0.0000], [0.0000, 3.7872, 0.0000], [0.0000, 0.0000, 4.0761]],
  "species": ["O", "O", "Tb", "Zn", "O"],
  "fractional_positions": [[0.0000, 0.5000, 0.6334], [0.5000, 0.5000, 0.0882], [0.0000, 0.0000, 0.9777], [0.5000, 0.5000, 0.5673], [0.5000, 0.0000, 0.6334]]
}